K3MnF6 | Alexandria via LeMat-Bulk | PBE with a Hubbard U | relaxed; E = -4.8831 eV per atom; total magnetic moment = 8.00 μB per cell; theoretical density = 2.52 g/cm3
1.0
5.194 2.999 4.044
-5.194 2.999 4.044
0.000 -5.998 4.044
K Mn F
6 2 12
direct
0.062 0.561 0.754
0.246 0.938 0.439
0.439 0.246 0.938
0.561 0.754 0.062
0.754 0.062 0.561
0.938 0.439 0.246
0.000 0.000 0.000
0.500 0.500 0.500
0.047 0.929 0.737
0.071 0.263 0.953
0.240 0.555 0.434
0.263 0.953 0.071
0.434 0.240 0.555
0.445 0.566 0.760
0.555 0.434 0.240
0.566 0.760 0.445
0.737 0.047 0.929
0.760 0.445 0.566
0.929 0.737 0.047
0.953 0.071 0.263